# 1
DFT (PBE-GGA) results for a geometry-optimized Sm2Y12Sc structure.

Results
Energy of formation: 0.36 eV/atom
Symmetry: P4/nbm (125)
Total magnetic moment: 0.0 Bohr magnetons per cell

abc: 6.460 6.460 24.769
angles: 90.00 90.00 90.00
Sites, in units of the cell vectors:
Sm  0.250  0.750  0.230
Sm  0.250  0.750  0.770
Sm  0.750  0.250  0.230
Sm  0.750  0.250  0.770
Y  0.063  0.563  0.391
Y  0.063  0.937  0.609
Y  0.081  0.581  0.062
Y  0.081  0.919  0.938
Y  0.250  0.250  0.163
Y  0.250  0.250  0.289
Y  0.250  0.250  0.711
Y  0.250  0.250  0.837
Y  0.419  0.581  0.938
Y  0.419  0.919  0.062
Y  0.437  0.563  0.609
Y  0.437  0.937  0.391
Y  0.563  0.063  0.609
Y  0.563  0.437  0.391
Y  0.581  0.081  0.938
Y  0.581  0.419  0.062
Y  0.750  0.750  0.163
Y  0.750  0.750  0.289
Y  0.750  0.750  0.711
Y  0.750  0.750  0.837
Y  0.919  0.081  0.062
Y  0.919  0.419  0.938
Y  0.937  0.063  0.391
Y  0.937  0.437  0.609
Sc  0.250  0.750  0.500
Sc  0.750  0.250  0.500

=====

# 2
DFT (PBE-GGA) results for a geometry-optimized Na5B7C3 structure.

Results
Distance to the lowest polymorph of the same formula: 13 meV per atom
Energy of formation: 0.13 eV/atom
Symmetry: Cmcm (63)
Total magnetic moment: 0.0 Bohr magnetons per cell

abc: 12.895 12.895 8.540
angles: 90.00 90.00 167.34
Sites, in units of the cell vectors:
Na  0.000  0.000  0.000
Na  0.000  0.000  0.500
Na  0.200  0.800  0.502
Na  0.200  0.800  0.998
Na  0.400  0.600  0.503
Na  0.400  0.600  0.997
Na  0.600  0.400  0.003
Na  0.600  0.400  0.497
Na  0.800  0.200  0.002
Na  0.800  0.200  0.498
B  0.066  0.934  0.250
B  0.067  0.933  0.750
B  0.136  0.864  0.250
B  0.269  0.731  0.250
B  0.270  0.730  0.750
B  0.339  0.661  0.250
B  0.473  0.527  0.750
B  0.527  0.473  0.250
B  0.661  0.339  0.750
B  0.730  0.270  0.250
B  0.731  0.269  0.750
B  0.864  0.136  0.750
B  0.933  0.067  0.250
B  0.934  0.066  0.750
C  0.131  0.869  0.750
C  0.333  0.667  0.750
C  0.464  0.536  0.250
C  0.536  0.464  0.750
C  0.667  0.333  0.250
C  0.869  0.131  0.250

=====

# 3
DFT (PBE-GGA) results for a geometry-optimized ZrSn2Ge structure.

Results
Energy of formation: 0.05 eV/atom
Symmetry: I-42d (122)
Total magnetic moment: 0.0 Bohr magnetons per cell

abc: 6.430 6.430 6.430
angles: 102.05 102.05 125.62
Sites, in units of the cell vectors:
Zr  0.000  0.000  0.000
Zr  0.750  0.250  0.500
Sn  0.140  0.125  0.515
Sn  0.375  0.860  0.985
Sn  0.610  0.625  0.485
Sn  0.875  0.390  0.015
Ge  0.250  0.750  0.500
Ge  0.500  0.500  0.000

=====

# 4
DFT (PBE-GGA) results for a geometry-optimized Ac2CeRh9 structure.

Results
Energy of formation: -0.47 eV/atom
Symmetry: R-3m (166)
Total magnetic moment: 0.0 Bohr magnetons per cell

abc: 9.598 9.598 9.598
angles: 32.40 32.40 32.40
Sites, in units of the cell vectors:
Ac  0.138  0.138  0.138
Ac  0.862  0.862  0.862
Ce  0.000  0.000  0.000
Rh  0.080  0.579  0.579
Rh  0.333  0.333  0.333
Rh  0.421  0.421  0.920
Rh  0.421  0.920  0.421
Rh  0.500  0.500  0.500
Rh  0.579  0.080  0.579
Rh  0.579  0.579  0.080
Rh  0.667  0.667  0.667
Rh  0.920  0.421  0.421